A relaxed structure of Li4Pd4Au, computed with PBE.

V: 265 Å³/cell
calculated density: 8.143 g/cm3
relative energy among the computed polymorphs: 0.000 eV/atom
raw total energy: -3.935 eV per atom
DFT formation energy: -0.412 eV per atom
DOS at the Fermi energy: 6.9 states/eV per cell

Geometry as CIF:
```
data_Li4Pd4Au
_cell_length_a 8.214
_cell_length_b 8.214
_cell_length_c 3.932
_cell_angle_alpha 90.00
_cell_angle_beta 90.00
_cell_angle_gamma 90.00
_space_group_name_H-M_alt 'I 4/m m m'
_space_group_IT_number 139
_space_group_name_Hall '-I 4 2'
loop_
_atom_site_label
_atom_site_fract_x
_atom_site_fract_y
_atom_site_fract_z
Li1 0.170 0.170 0.000
Pd1 0.000 0.331 0.500
Au1 0.000 0.000 0.500
```

---

A relaxed structure of GdTh2Nb, computed with PBE.

V: 113 Å³/cell
calculated density: 10.470 g/cm3
raw total energy: -9.584 eV per atom
DFT formation energy: 0.163 eV per atom
DOS at the Fermi energy: 6.6 states/eV per cell

Geometry as CIF:
```
data_GdTh2Nb
_cell_length_a 3.657
_cell_length_b 3.657
_cell_length_c 8.472
_cell_angle_alpha 90.00
_cell_angle_beta 90.00
_cell_angle_gamma 90.00
_space_group_name_H-M_alt 'P 4/m m m'
_space_group_IT_number 123
_space_group_name_Hall '-P 4 2'
loop_
_atom_site_label
_atom_site_fract_x
_atom_site_fract_y
_atom_site_fract_z
Gd1 0.000 0.000 0.000
Th1 0.500 0.500 0.284
Nb1 0.000 0.000 0.500
```

---

A relaxed structure of Pm4RhPb2, computed with PBE.

V: 463 Å³/cell
calculated density: 7.878 g/cm3
relative energy among the computed polymorphs: 0.143 eV/atom
raw total energy: -5.231 eV per atom
DFT formation energy: -0.406 eV per atom
DOS at the Fermi energy: 7.7 states/eV per cell

Geometry as CIF:
```
data_Pm4RhPb2
_cell_length_a 5.209
_cell_length_b 5.209
_cell_length_c 17.045
_cell_angle_alpha 90.00
_cell_angle_beta 90.00
_cell_angle_gamma 90.00
_space_group_name_H-M_alt 'I 4/m m m'
_space_group_IT_number 139
_space_group_name_Hall '-I 4 2'
loop_
_atom_site_label
_atom_site_fract_x
_atom_site_fract_y
_atom_site_fract_z
Pm1 0.000 0.000 0.177
Pm2 0.000 0.500 0.000
Rh1 0.000 0.000 0.000
Pb1 0.000 0.000 0.363
```